Entry 1:
Computed, not measured: a geometry-optimized Pu2PaP3 structure at the PBE level of DFT.

Geometry as extended XYZ:
```
12
Lattice="4.013 0.000 0.000 0.000 5.646 0.000 0.000 0.000 11.931" Properties=species:S:1:pos:R:3 pbc="T T T"
Pu 0.000 0.000 1.999
Pu 0.000 0.000 9.932
Pu 2.006 2.823 3.966
Pu 2.006 2.823 7.965
Pa 0.000 0.000 5.966
Pa 2.006 2.823 0.000
P 0.000 2.823 1.961
P 0.000 2.823 5.966
P 0.000 2.823 9.970
P 2.006 0.000 0.000
P 2.006 0.000 4.004
P 2.006 0.000 7.927
```

Results
Energy of formation = -1.2207 eV/atom
Final energy = -10.286 eV per atom
Volume = 22.529 Å³ per atom

---

Entry 2:
Computed, not measured: a geometry-optimized U6PbS8 structure at the PBE level of DFT.

Geometry as extended XYZ:
```
15
Lattice="5.049 2.915 4.352 -5.049 2.915 4.352 0.000 -5.830 4.352" Properties=species:S:1:pos:R:3 pbc="T T T"
U -1.251 -1.521 5.716
U -1.943 0.323 7.341
U -0.692 1.844 5.716
U 0.692 -1.844 7.341
U 1.943 -0.323 5.716
U 1.251 1.521 7.341
Pb 0.000 0.000 0.000
S -3.303 0.259 4.995
S -1.876 -2.731 8.062
S 0.000 0.000 3.897
S 1.427 -2.990 4.995
S -1.427 2.990 8.062
S 0.000 0.000 9.160
S 1.876 2.731 4.995
S 3.303 -0.259 8.062
```

Results
Formation energy (no corrections) = -12.57 eV/f.u.
Final energy = -7.802 eV per atom
Volume = 25.621 Å³ per atom

---

Entry 3:
Computed, not measured: a geometry-optimized Ce2ErScBi4 structure at the PBE level of DFT.

Geometry as extended XYZ:
```
8
Lattice="7.745 0.000 0.000 0.000 4.488 0.000 -2.600 0.000 7.327" Properties=species:S:1:pos:R:3 pbc="T T T"
Ce 0.000 0.000 0.000
Ce -1.300 2.244 3.663
Er 2.572 0.000 3.663
Sc 3.873 2.244 0.000
Bi 1.391 2.244 1.822
Bi 0.089 0.000 5.578
Bi 5.055 0.000 1.749
Bi 3.754 2.244 5.505
```

Results
Energy of formation = -0.7560 eV/atom
Final energy = -5.542 eV per atom
Volume = 31.836 Å³ per atom